Cr2HgAu at its PBEsol-relaxed geometry, computed with SCAN.

Summary:
Fermi-level density of states	1.5	states/eV/cell
volume	15.449	Å³/atom
raw total energy	-43.4585	eV/atom

Cell: 3.015 3.015 6.796 Å, 90.00 90.00 90.00°
Space group P4mm (No. 99)
Inequivalent atoms, fractional coordinates:
Cr  0.000  0.000  0.000
Cr  0.500  0.500  0.159
Hg  0.000  0.000  0.441
Au  0.500  0.500  0.741